(1)
Density functional theory data (PBE) for a relaxed VCSN2 crystal.

Computed properties:
E above lowest polymorph = 0.00 eV/f.u.

a b c (Å): 3.634 3.634 5.098
angles (deg): 90.00 90.00 90.00
Space group P4/mmm (No. 123)
Unique sites:
V 0.000 0.000 0.000 (multiplicity 1)
C 0.500 0.500 0.500 (multiplicity 1)
S 0.000 0.000 0.500 (multiplicity 1)
N 0.000 0.500 0.000 (multiplicity 2)

---

(2)
Density functional theory data (PBE) for a relaxed Al3SiAu crystal.

Computed properties:
E above lowest polymorph = 0.00 eV/f.u.

a b c (Å): 4.824 4.824 4.824
angles (deg): 90.00 90.00 90.00
Space group Pm-3m (No. 221)
Unique sites:
Al 0.000 0.000 0.500 (multiplicity 3)
Si 0.500 0.500 0.500 (multiplicity 1)
Au 0.000 0.000 0.000 (multiplicity 1)

---

(3)
Density functional theory data (PBE) for a relaxed Y6TlSe3 crystal.

Computed properties:
VASP energy = -6.25 eV per atom

a b c (Å): 11.954 3.956 12.107
angles (deg): 90.00 107.67 90.00
Space group P2_1/m (No. 11)
Unique sites:
Y 0.002 0.250 0.359 (multiplicity 2)
Y 0.119 0.250 0.930 (multiplicity 2)
Y 0.223 0.750 0.262 (multiplicity 2)
Y 0.297 0.750 0.748 (multiplicity 2)
Y 0.366 0.250 0.527 (multiplicity 2)
Y 0.420 0.750 0.093 (multiplicity 2)
Tl 0.449 0.250 0.304 (multiplicity 2)
Se 0.060 0.250 0.146 (multiplicity 2)
Se 0.169 0.750 0.492 (multiplicity 2)
Se 0.352 0.250 0.922 (multiplicity 2)

---

(4)
Density functional theory data (PBE) for a relaxed BaGaBi2 crystal.

Computed properties:
E_form = -0.1520 eV per atom

a b c (Å): 4.3876 4.3876 25.6303
angles (deg): 90.00 90.00 120.00
Space group R-3m (No. 166, hexagonal axes)
Unique sites:
Ba 0.0000 0.0000 0.0000 (multiplicity 3)
Ga 0.0000 0.0000 0.5000 (multiplicity 3)
Bi 0.0000 0.0000 0.2294 (multiplicity 6)

---

no.,calculated volume (A^3/atom)
1,13.5
2,22.5
3,27.3
4,35.6